BeCuI2N after structural relaxation, computed with PBEsol.

CIF file:
```
data_BeCuI2N
_chemical_formula_sum 'Be1 Cu1 I2 N1'
_space_group_name_H-M_alt 'P 4/m m m'
_space_group_IT_number 123
_space_group_name_Hall '-P 4 2'
_cell_length_a 5.620
_cell_length_b 5.620
_cell_length_c 3.068
_cell_angle_alpha 90.00
_cell_angle_beta 90.00
_cell_angle_gamma 90.00
loop_
_atom_site_label
_atom_site_type_symbol
_atom_site_fract_x
_atom_site_fract_y
_atom_site_fract_z
Be1 Be 0.000 0.000 0.000
Cu1 Cu 0.500 0.500 0.500
I1 I 0.000 0.500 0.000
N1 N 0.000 0.000 0.500
```

- electronic total energy (Ry/atom) = -0.25934

***

SrMoNO2 after structural relaxation, computed with PBEsol.

CIF file:
```
data_SrMoNO2
_chemical_formula_sum 'Sr1 Mo1 N1 O2'
_space_group_name_H-M_alt 'P 4/m m m'
_space_group_IT_number 123
_space_group_name_Hall '-P 4 2'
_cell_length_a 3.941
_cell_length_b 3.941
_cell_length_c 3.951
_cell_angle_alpha 90.00
_cell_angle_beta 90.00
_cell_angle_gamma 90.00
loop_
_atom_site_label
_atom_site_type_symbol
_atom_site_fract_x
_atom_site_fract_y
_atom_site_fract_z
Sr1 Sr 0.000 0.000 0.000
Mo1 Mo 0.500 0.500 0.500
N1 N 0.500 0.500 0.000
O1 O 0.000 0.500 0.500
```

- electronic total energy (Ry/atom) = -0.62357

***

TaBeOs2 after structural relaxation, computed with PBEsol.

CIF file:
```
data_TaBeOs2
_chemical_formula_sum 'Ta1 Be1 Os2'
_space_group_name_H-M_alt 'P 4/m m m'
_space_group_IT_number 123
_space_group_name_Hall '-P 4 2'
_cell_length_a 3.049
_cell_length_b 3.049
_cell_length_c 5.834
_cell_angle_alpha 90.00
_cell_angle_beta 90.00
_cell_angle_gamma 90.00
loop_
_atom_site_label
_atom_site_type_symbol
_atom_site_fract_x
_atom_site_fract_y
_atom_site_fract_z
Ta1 Ta 0.000 0.000 0.000
Be1 Be 0.000 0.000 0.500
Os1 Os 0.500 0.500 0.273
```

- ΔH_f (0 K) (meV per atom) = -249
- electronic total energy (Ry/atom) = -0.77132

***

MnP4 after structural relaxation, computed with PBEsol.

CIF file:
```
data_MnP4
_chemical_formula_sum 'Mn2 P8'
_space_group_name_H-M_alt 'I 4/m m m'
_space_group_IT_number 139
_space_group_name_Hall '-I 4 2'
_cell_length_a 4.583
_cell_length_b 4.583
_cell_length_c 7.191
_cell_angle_alpha 90.00
_cell_angle_beta 90.00
_cell_angle_gamma 90.00
loop_
_atom_site_label
_atom_site_type_symbol
_atom_site_fract_x
_atom_site_fract_y
_atom_site_fract_z
Mn1 Mn 0.000 0.000 0.000
P1 P 0.000 0.000 0.325
P2 P 0.000 0.500 0.250
```

- ΔH_f (0 K) (meV per atom) = 355
- electronic total energy (Ry/atom) = -0.45792

***

Sc2InPd after structural relaxation, computed with PBEsol.

CIF file:
```
data_Sc2InPd
_chemical_formula_sum 'Sc6 In3 Pd3'
_space_group_name_H-M_alt 'R -3 m'
_space_group_IT_number 166
_space_group_name_Hall '-R 3 2"'
_cell_length_a 3.3307
_cell_length_b 3.3307
_cell_length_c 28.8992
_cell_angle_alpha 90.00
_cell_angle_beta 90.00
_cell_angle_gamma 120.00
loop_
_atom_site_label
_atom_site_type_symbol
_atom_site_fract_x
_atom_site_fract_y
_atom_site_fract_z
Sc1 Sc 0.0000 0.0000 0.1030
In1 In 0.0000 0.0000 0.0000
Pd1 Pd 0.0000 0.0000 0.5000
```

- ΔH_f (0 K) (meV per atom) = -160
- electronic total energy (Ry/atom) = -0.41880

***

CaP2Rh after structural relaxation, computed with PBEsol.

CIF file:
```
data_CaP2Rh
_chemical_formula_sum 'Ca2 P4 Rh2'
_space_group_name_H-M_alt 'C m m m'
_space_group_IT_number 65
_space_group_name_Hall '-C 2 2'
_cell_length_a 5.430
_cell_length_b 6.622
_cell_length_c 3.523
_cell_angle_alpha 90.00
_cell_angle_beta 90.00
_cell_angle_gamma 90.00
loop_
_atom_site_label
_atom_site_type_symbol
_atom_site_fract_x
_atom_site_fract_y
_atom_site_fract_z
Ca1 Ca 0.000 0.000 0.000
P1 P 0.250 0.250 0.500
Rh1 Rh 0.000 0.500 0.000
```

- energy above the most stable polymorph in this dataset (kJ per mole of atoms) = 33.3
- ΔH_f (0 K) (meV per atom) = -297
- electronic total energy (Ry/atom) = -0.42343

***

MnNbSeBr2 after structural relaxation, computed with PBEsol.

CIF file:
```
data_MnNbSeBr2
_chemical_formula_sum 'Mn1 Nb1 Se1 Br2'
_space_group_name_H-M_alt 'P 4/m m m'
_space_group_IT_number 123
_space_group_name_Hall '-P 4 2'
_cell_length_a 5.157
_cell_length_b 5.157
_cell_length_c 4.980
_cell_angle_alpha 90.00
_cell_angle_beta 90.00
_cell_angle_gamma 90.00
loop_
_atom_site_label
_atom_site_type_symbol
_atom_site_fract_x
_atom_site_fract_y
_atom_site_fract_z
Mn1 Mn 0.000 0.000 0.000
Nb1 Nb 0.500 0.500 0.500
Se1 Se 0.500 0.500 0.000
Br1 Br 0.000 0.500 0.500
```

- energy above the most stable polymorph in this dataset (kJ per mole of atoms) = 0.0
- electronic total energy (Ry/atom) = -0.39777

***

ZnW3Au after structural relaxation, computed with PBEsol.

CIF file:
```
data_ZnW3Au
_chemical_formula_sum 'Zn1 W3 Au1'
_space_group_name_H-M_alt 'P m -3 m'
_space_group_IT_number 221
_space_group_name_Hall '-P 4 2 3'
_cell_length_a 4.470
_cell_length_b 4.470
_cell_length_c 4.470
_cell_angle_alpha 90.00
_cell_angle_beta 90.00
_cell_angle_gamma 90.00
loop_
_atom_site_label
_atom_site_type_symbol
_atom_site_fract_x
_atom_site_fract_y
_atom_site_fract_z
Zn1 Zn 0.000 0.000 0.000
W1 W 0.000 0.000 0.500
Au1 Au 0.500 0.500 0.500
```

- ΔH_f (0 K) (meV per atom) = 1945
- electronic total energy (Ry/atom) = -0.54685